GGA-PBE NaPrHfNbO6, optimized geometry; uncorrected formation energy = -2806 meV/atom; DFT total energy = -8.39 eV per atom; DOS at the Fermi energy = 2.2 states/eV per cell
1.0
0.000 4.076 4.076
4.076 0.000 4.076
4.076 4.076 0.000
Na Pr Hf Nb O
1 1 1 1 6
Cartesian
0.000 0.000 0.000 Na
4.076 4.076 4.076 Pr
6.114 6.114 6.114 Hf
2.038 2.038 2.038 Nb
2.038 2.038 0.017 O
2.038 0.017 2.038 O
4.059 2.038 2.038 O
0.017 2.038 2.038 O
2.038 4.059 2.038 O
2.038 2.038 4.059 O